Below is a geometry-optimized LaTmRu structure, with properties calculated at the PBE-GGA level.

Results
Fermi-level density of states = 4.85 states/eV per cell
excess energy over the best structure of this formula in the dataset = 0.003 eV per atom

extended XYZ file:
```
6
Lattice="-2.128 4.592 -1.124 -3.559 -2.517 -3.544 -2.965 -0.193 4.821" Properties=species:S:1:pos:R:3 pbc="T T T"
La -4.154 -0.039 1.666
Tm -1.125 1.086 0.535
Ru -3.140 3.058 0.451
Tm -7.574 0.797 -0.401
Ru -5.559 -1.175 -0.316
La -4.546 1.922 -1.531
```